[1]
Ta5Cu: optimized geometry, PBE-GGA.

abc: 7.085 7.085 3.405
angles: 90.00 90.00 142.53
Fractional positions:
Ta 0.000 0.000 0.000
Ta 0.164 0.836 0.500
Ta 0.336 0.664 0.000
Ta 0.664 0.336 0.000
Ta 0.836 0.164 0.500
Cu 0.500 0.500 0.500

Calculated values
Calculated volume = 104.0 Å³/cell
Distance to the lowest polymorph of the same formula = 22.9 meV/atom
Crystal system = orthorhombic
VASP energy = -10.468 eV/atom
Space-group type = No. 65
Calculated density = 15.47 Mg/m³


[2]
TaCu: optimized geometry, PBE-GGA.

abc: 2.782 2.782 3.906
angles: 90.00 90.00 90.00
Fractional positions:
Ta 0.000 0.000 0.000
Cu 0.500 0.500 0.500

Calculated values
Calculated volume = 30.2 Å³/cell
Crystal system = tetragonal
VASP energy = -7.854 eV/atom
Space-group type = No. 123
Calculated density = 13.43 Mg/m³


[3]
TaCu: optimized geometry, PBE-GGA.

abc: 9.260 9.260 9.260
angles: 17.53 17.53 17.53
Fractional positions:
Ta 0.119 0.119 0.119
Ta 0.881 0.881 0.881
Cu 0.370 0.370 0.370
Cu 0.630 0.630 0.630

Calculated values
Calculated volume = 62.9 Å³/cell
Crystal system = trigonal
VASP energy = -7.735 eV/atom
Space-group type = No. 166
Calculated density = 12.91 Mg/m³


[4]
TaCu: optimized geometry, PBE-GGA.

abc: 5.691 5.691 6.089
angles: 105.57 105.57 28.95
Fractional positions:
Ta 0.000 0.000 0.000
Ta 0.028 0.028 0.527
Ta 0.320 0.320 0.660
Cu 0.347 0.347 0.203
Cu 0.679 0.679 0.306
Cu 0.694 0.694 0.898

Calculated values
Calculated volume = 91.7 Å³/cell
Crystal system = monoclinic
VASP energy = -7.844 eV/atom
Space-group type = No. 8
Calculated density = 13.28 Mg/m³


[5]
TaCu: optimized geometry, PBE-GGA.

abc: 4.802 4.802 7.612
angles: 111.49 111.49 34.74
Fractional positions:
Ta 0.000 0.000 0.000
Ta 0.324 0.324 0.191
Ta 0.676 0.676 0.809
Cu 0.000 0.000 0.500
Cu 0.343 0.343 0.642
Cu 0.657 0.657 0.358

Calculated values
Calculated volume = 92.4 Å³/cell
Crystal system = monoclinic
VASP energy = -7.841 eV/atom
Space-group type = No. 12
Calculated density = 13.18 Mg/m³


[6]
TaCu: optimized geometry, PBE-GGA.

abc: 4.268 4.268 5.075
angles: 90.00 90.00 120.00
Fractional positions:
Ta 0.333 0.667 0.250
Ta 0.667 0.333 0.750
Cu 0.333 0.667 0.750
Cu 0.667 0.333 0.250

Calculated values
Calculated volume = 80.1 Å³/cell
Crystal system = hexagonal
VASP energy = -6.672 eV/atom
Space-group type = No. 194
Calculated density = 10.14 Mg/m³


[7]
Ta2Cu: optimized geometry, PBE-GGA.

abc: 12.920 12.920 12.920
angles: 167.51 167.51 17.70
Fractional positions:
Ta 0.299 0.549 0.750
Ta 0.451 0.701 0.750
Ta 0.549 0.299 0.250
Ta 0.701 0.451 0.250
Cu 0.125 0.875 0.250
Cu 0.875 0.125 0.750

Calculated values
Calculated volume = 100.9 Å³/cell
Crystal system = tetragonal
VASP energy = -8.981 eV/atom
Space-group type = No. 141
Calculated density = 14.01 Mg/m³


[8]
Ta5Cu: optimized geometry, PBE-GGA.

abc: 5.582 5.582 4.518
angles: 90.00 90.00 120.00
Fractional positions:
Ta 0.000 0.500 0.000
Ta 0.333 0.667 0.500
Ta 0.500 0.000 0.000
Ta 0.500 0.500 0.000
Ta 0.667 0.333 0.500
Cu 0.000 0.000 0.500

Calculated values
Calculated volume = 121.9 Å³/cell
Distance to the lowest polymorph of the same formula = 763.3 meV/atom
Crystal system = hexagonal
VASP energy = -9.727 eV/atom
Space-group type = No. 191
Calculated density = 13.19 Mg/m³


[9]
Ta5Cu: optimized geometry, PBE-GGA.

abc: 5.413 5.413 5.413
angles: 60.00 60.00 60.00
Fractional positions:
Ta 0.000 0.000 0.000
Ta 0.120 0.627 0.627
Ta 0.627 0.120 0.627
Ta 0.627 0.627 0.120
Ta 0.627 0.627 0.627
Cu 0.250 0.250 0.250

Calculated values
Calculated volume = 112.2 Å³/cell
Distance to the lowest polymorph of the same formula = 433.6 meV/atom
Crystal system = cubic
VASP energy = -10.057 eV/atom
Space-group type = No. 216
Calculated density = 14.33 Mg/m³


[10]
Ta2Cu: optimized geometry, PBE-GGA.

abc: 5.546 5.546 6.868
angles: 106.35 106.35 29.54
Fractional positions:
Ta 0.000 0.000 0.000
Ta 0.045 0.045 0.579
Ta 0.362 0.362 0.264
Ta 0.718 0.718 0.917
Cu 0.325 0.325 0.645
Cu 0.658 0.658 0.332

Calculated values
Calculated volume = 99.6 Å³/cell
Crystal system = monoclinic
VASP energy = -9.051 eV/atom
Space-group type = No. 8
Calculated density = 14.18 Mg/m³


[11]
TaCu5: optimized geometry, PBE-GGA.

abc: 4.534 4.534 4.399
angles: 90.00 90.00 120.00
Fractional positions:
Ta 0.000 0.000 0.000
Cu 0.000 0.662 0.500
Cu 0.333 0.667 0.000
Cu 0.338 0.338 0.500
Cu 0.662 0.000 0.500
Cu 0.667 0.333 0.000

Calculated values
Calculated volume = 78.3 Å³/cell
Crystal system = hexagonal
VASP energy = -5.301 eV/atom
Space-group type = No. 189
Calculated density = 10.57 Mg/m³


[12]
TaCu: optimized geometry, PBE-GGA.

abc: 5.018 5.018 5.231
angles: 90.00 90.00 90.00
Fractional positions:
Ta 0.188 0.188 0.000
Ta 0.312 0.688 0.500
Ta 0.688 0.312 0.500
Ta 0.812 0.812 0.000
Cu 0.178 0.178 0.500
Cu 0.322 0.678 0.000
Cu 0.678 0.322 0.000
Cu 0.822 0.822 0.500

Calculated values
Calculated volume = 131.7 Å³/cell
Crystal system = tetragonal
VASP energy = -7.313 eV/atom
Space-group type = No. 136
Calculated density = 12.33 Mg/m³


Number 1: DFT formation energy 0.092 eV per atom. Number 2: DFT formation energy 0.120 eV per atom. Number 3: DFT formation energy 0.239 eV per atom. Number 4: DFT formation energy 0.131 eV per atom. Number 5: DFT formation energy 0.134 eV per atom. Number 6: DFT formation energy 1.302 eV per atom. Number 7: DFT formation energy 0.286 eV per atom. Number 8: DFT formation energy 0.832 eV per atom. Number 9: DFT formation energy 0.503 eV per atom. Number 10: DFT formation energy 0.216 eV per atom. Number 11: DFT formation energy 0.088 eV per atom. Number 12: DFT formation energy 0.661 eV per atom.